[1]
Here is a geometry-optimized Hf3CuCl structure from Alexandria. Energies are from PBE.

Calculated values
M_tot = 0.00 μB per atom
E_form (uncorrected) = 0.3757 eV/atom
Volume = 102 Å³ per cell
SG = Pm-3m, No. 221
Energy above the lowest structure with this stoichiometry = 0 meV per atom
Total DFT energy (no corrections) = -6.78 eV/atom

Lattice parameters (Å, degrees): 4.6796 4.6796 4.6796 90.00 90.00 90.00
Closest atoms and distances in Å follow each position.
Fractional positions:
Hf (0.0000, 0.5000, 0.0000)  2 Cl 2.34
Hf (0.0000, 0.0000, 0.5000)  2 Cl 2.34
Hf (0.5000, 0.0000, 0.0000)  2 Cl 2.34
Cu (0.5000, 0.5000, 0.5000)  12 Hf 3.31
Cl (0.0000, 0.0000, 0.0000)  6 Hf 2.34

***

[2]
Here is a geometry-optimized Pr12Tl2Cd5 structure from Alexandria. Energies are from PBE.

Calculated values
DFT formation energy = -0.17 eV per atom
M_tot = 0.00 μB per atom
Volume = 598 Å³ per cell
SG = C2/m, No. 12
Total DFT energy (no corrections) = -3.68 eV/atom

Lattice parameters (Å, degrees): 10.9067 8.5378 8.6557 78.13 90.00 129.70
Closest atoms and distances in Å follow each position.
Fractional positions:
Pr (0.8865, 0.7729, 0.1568)  1 Cd 3.18, 2 Tl 3.42, 1 Pr 3.45
Pr (0.0025, 0.6492, 0.8187)  3 Cd 3.25-3.64, 1 Tl 3.28, 2 Pr 3.59-3.63
Pr (0.6467, 0.6492, 0.8187)  3 Cd 3.25-3.64, 1 Tl 3.28, 2 Pr 3.59-3.63
Pr (0.1665, 0.7879, 0.4019)  4 Cd 3.23-3.48, 1 Tl 3.38
Pr (0.6213, 0.7879, 0.4019)  4 Cd 3.23-3.48, 1 Tl 3.38
Pr (0.3950, 0.7900, 0.7330)  3 Cd 3.39-3.53, 7 Pr 3.56-3.79
Pr (0.6050, 0.2100, 0.2670)  3 Cd 3.39-3.53, 7 Pr 3.56-3.79
Pr (0.8335, 0.2121, 0.5981)  4 Cd 3.23-3.48, 1 Tl 3.38
Pr (0.3787, 0.2121, 0.5981)  4 Cd 3.23-3.48, 1 Tl 3.38
Pr (0.9975, 0.3508, 0.1813)  3 Cd 3.25-3.64, 1 Tl 3.28, 2 Pr 3.59-3.63
Pr (0.3533, 0.3508, 0.1813)  3 Cd 3.25-3.64, 1 Tl 3.28, 2 Pr 3.59-3.63
Pr (0.1135, 0.2271, 0.8432)  1 Cd 3.18, 2 Tl 3.42, 1 Pr 3.45
Tl (0.7293, 0.0000, 0.0000)  2 Cd 3.01, 2 Pr 3.28
Tl (0.2707, 0.0000, 0.0000)  2 Cd 3.01, 2 Pr 3.28
Cd (0.2308, 0.4616, 0.4707)  2 Cd 2.97-3.08, 3 Pr 3.18-3.23
Cd (0.3807, 0.7614, 0.1298)  2 Tl 3.01, 2 Cd 3.08-3.33, 2 Pr 3.25
Cd (0.0000, 0.0000, 0.5000)  2 Cd 2.97
Cd (0.6193, 0.2386, 0.8702)  2 Tl 3.01, 2 Cd 3.08-3.33, 2 Pr 3.25
Cd (0.7692, 0.5384, 0.5293)  2 Cd 2.97-3.08, 3 Pr 3.18-3.23

***

[3]
Here is a geometry-optimized NbReGe2I structure from Alexandria. Energies are from PBE.

Calculated values
M_tot = 0.50 μB per atom
E_form (uncorrected) = 2.3126 eV/atom
Volume = 134 Å³ per cell
SG = P4/mmm, No. 123
Total DFT energy (no corrections) = -4.35 eV/atom

Lattice parameters (Å, degrees): 5.2513 4.8660 5.2513 90.00 90.00 90.00
Closest atoms and distances in Å follow each position.
Fractional positions:
I (0.0000, 0.0000, 0.0000)  2 Re 2.43, 4 Ge 2.63
Re (0.0000, 0.5000, 0.0000)  2 I 2.43
Nb (0.5000, 0.5000, 0.5000)  8 Ge 3.58, 4 Re 3.71
Ge (0.0000, 0.0000, 0.5000)  2 I 2.63
Ge (0.5000, 0.0000, 0.0000)  2 I 2.63

***

[4]
Here is a geometry-optimized La2CoSe structure from Alexandria. Energies are from PBE.

Calculated values
M_tot = 0.26 μB per atom
E_form (uncorrected) = -0.6872 eV/atom
Volume = 108 Å³ per cell
SG = R3m, No. 160
Total DFT energy (no corrections) = -5.80 eV/atom

Lattice parameters (Å, degrees): 7.8588 7.8588 7.8588 30.08 30.08 30.08
Closest atoms and distances in Å follow each position.
Fractional positions:
Co (0.7818, 0.7818, 0.7818)  3 Se 2.38
La (0.0385, 0.0385, 0.0385)  3 Co 2.92, 3 Se 3.14
La (0.2151, 0.2151, 0.2151)  3 Se 3.02, 3 Co 3.26
Se (0.4645, 0.4645, 0.4645)  3 Co 2.38

***

[5]
Here is a geometry-optimized Ca2Ga3Ru structure from Alexandria. Energies are from PBE.

Calculated values
DFT formation energy = -0.22 eV per atom
M_tot = 0.00 μB per atom
Volume = 135 Å³ per cell
SG = Immm, No. 71
Total DFT energy (no corrections) = -3.94 eV/atom

Lattice parameters (Å, degrees): 4.6107 5.1181 6.6829 112.51 110.18 90.00
Closest atoms and distances in Å follow each position.
Fractional positions:
Ca (0.7261, 0.2261, 0.4521)  4 Ga 2.91-3.00, 1 Ru 3.14
Ca (0.2739, 0.7739, 0.5479)  4 Ga 2.91-3.00, 1 Ru 3.14
Ga (0.3942, 0.3942, 0.7884)  1 Ga 2.42, 2 Ru 2.60
Ga (0.0000, 0.0000, 0.0000)  2 Ru 2.56
Ga (0.6058, 0.6058, 0.2116)  1 Ga 2.42, 2 Ru 2.60
Ru (0.0000, 0.5000, 0.0000)  6 Ga 2.56-2.60

***

[6]
Here is a geometry-optimized Nd2Y6Er3Tm structure from Alexandria. Energies are from PBE.

Calculated values
DFT formation energy = 0.02 eV per atom
M_tot = 0.00 μB per atom
Volume = 385 Å³ per cell
SG = C2/m, No. 12
Total DFT energy (no corrections) = -5.52 eV/atom

Lattice parameters (Å, degrees): 6.1748 6.1748 11.8199 94.98 94.98 119.96
Closest atoms and distances in Å follow each position.
Fractional positions:
Nd (0.3334, 0.6666, 0.0000)  3 Nd 3.56-3.57, 3 Tm 3.56-3.57, 6 Y 3.59-3.60
Nd (0.6666, 0.3334, 0.0000)  3 Nd 3.56-3.57, 3 Tm 3.56-3.57, 6 Y 3.59-3.60
Y (0.9155, 0.5832, 0.7471)  3 Er 3.54, 6 Y 3.55-3.57, 1 Tm 3.59, 2 Nd 3.59-3.60
Y (0.7523, 0.7523, 0.2531)  3 Er 3.53-3.54, 6 Y 3.56-3.57, 1 Tm 3.59, 2 Nd 3.60
Y (0.0845, 0.4168, 0.2529)  3 Er 3.54, 6 Y 3.55-3.57, 1 Tm 3.59, 2 Nd 3.59-3.60
Y (0.5832, 0.9155, 0.7471)  3 Er 3.54, 6 Y 3.55-3.57, 1 Tm 3.59, 2 Nd 3.59-3.60
Y (0.2477, 0.2477, 0.7469)  3 Er 3.53-3.54, 6 Y 3.56-3.57, 1 Tm 3.59, 2 Nd 3.60
Y (0.4168, 0.0845, 0.2529)  3 Er 3.54, 6 Y 3.55-3.57, 1 Tm 3.59, 2 Nd 3.59-3.60
Er (0.1663, 0.8337, 0.5000)  6 Y 3.53-3.54, 6 Er 3.56-3.57
Er (0.8337, 0.1663, 0.5000)  6 Y 3.53-3.54, 6 Er 3.56-3.57
Er (0.5000, 0.5000, 0.5000)  6 Y 3.54, 6 Er 3.56-3.57
Tm (0.0000, 0.0000, 0.0000)  6 Nd 3.56-3.57, 6 Y 3.59

***

[7]
Here is a geometry-optimized LiDyTlPd structure from Alexandria. Energies are from PBE.

Calculated values
DFT formation energy = -0.49 eV per atom
M_tot = 0.00 μB per atom
Volume = 80 Å³ per cell
SG = F-43m, No. 216
Total DFT energy (no corrections) = -4.01 eV/atom

Lattice parameters (Å, degrees): 4.8340 4.8340 4.8340 60.00 60.00 60.00
Closest atoms and distances in Å follow each position.
Fractional positions:
Tl (0.2500, 0.2500, 0.2500)  4 Li 2.96, 4 Pd 2.96
Li (0.0000, 0.0000, 0.0000)  4 Tl 2.96, 4 Dy 2.96
Pd (0.5000, 0.5000, 0.5000)  4 Dy 2.96, 4 Tl 2.96
Dy (0.7500, 0.7500, 0.7500)  4 Li 2.96, 4 Pd 2.96

***

[8]
Here is a geometry-optimized Pm8Te4IrSe3 structure from Alexandria. Energies are from PBE.

Calculated values
M_tot = 0.00 μB per atom
E_form (uncorrected) = -1.5113 eV/atom
Volume = 467 Å³ per cell
SG = R-3m, No. 166
Total DFT energy (no corrections) = -5.88 eV/atom

Lattice parameters (Å, degrees): 8.6516 8.7591 8.6533 119.60 119.99 90.00
Closest atoms and distances in Å follow each position.
Fractional positions:
Pm (0.2309, 0.7179, 0.9871)  1 Ir 2.84, 2 Se 3.00-3.01, 2 Te 3.17
Pm (0.2308, 0.7179, 0.4616)  1 Ir 2.84, 2 Se 3.01, 2 Te 3.17
Pm (0.2579, 0.2741, 0.5158)  3 Se 2.98, 3 Te 3.18
Pm (0.7562, 0.7179, 0.9871)  1 Ir 2.84, 2 Se 3.00-3.01, 2 Te 3.17
Pm (0.2438, 0.2821, 0.0129)  1 Ir 2.84, 2 Se 3.00-3.01, 2 Te 3.17
Pm (0.7421, 0.7259, 0.4842)  3 Se 2.98, 3 Te 3.18
Pm (0.7692, 0.2821, 0.5384)  1 Ir 2.84, 2 Se 3.01, 2 Te 3.17
Pm (0.7691, 0.2821, 0.0129)  1 Ir 2.84, 2 Se 3.00-3.01, 2 Te 3.17
Te (0.5000, 0.0000, 0.0000)  6 Pm 3.32
Te (0.5000, 0.0000, 0.5000)  6 Pm 3.17-3.18
Te (0.0000, 0.0000, 0.0000)  6 Pm 3.17-3.18
Te (0.0000, 0.0000, 0.5000)  6 Pm 3.17-3.18
Ir (0.0000, 0.5000, 0.0000)  6 Pm 2.84
Se (0.5000, 0.5000, 0.0000)  6 Pm 2.98-3.00
Se (0.5000, 0.5000, 0.5000)  6 Pm 2.98-3.01
Se (0.0000, 0.5000, 0.5000)  6 Pm 2.98-3.01